La3Ce2HoSb6 (PBE-GGA, optimized geometry); N(E_F) = 1.095 states/eV per atom; E = -5.83 eV per atom
1.0
7.864 -0.001 0.000
-3.931 6.811 0.000
-1.312 -2.272 7.427
La Ce Ho Sb
3 2 1 6
Direct
0.168 0.832 0.500
0.832 0.168 0.500
0.500 0.500 0.500
0.334 0.666 0.000
0.666 0.334 0.000
0.000 0.000 0.000
0.920 0.590 0.761
0.750 0.750 0.241
0.080 0.410 0.239
0.590 0.920 0.761
0.250 0.250 0.759
0.410 0.080 0.239